No. 1
# Cs2MgGaI6

Cs2MgGaI6 after structural relaxation (PBE, Alexandria).

It has space group Fm-3m (No. 225), with a = 11.8877 Å, b = 11.8877 Å, c = 11.8877 Å, α = 90.00°, β = 90.00° and γ = 90.00°. The distinct sites, in fractional coordinates, are Cs at (0.2500, 0.2500, 0.2500), Mg at (0.0000, 0.0000, 0.0000), Ga at (0.0000, 0.0000, 0.5000) and I at (0.0000, 0.0000, 0.2488).

The energy is -2.568 eV per atom. The formation energy from raw total energies comes out at -969 kJ/mol of formula units. The calculation puts the density of states at the Fermi level at 0.312 states/eV/atom. The total moment comes out at 0.000 μB per formula unit.

---

No. 2
# Cs2MgGaI5

Cs2MgGaI5 after structural relaxation (PBE, Alexandria).

It has space group Cmc2_1 (No. 36), with a = 4.7281 Å, b = 21.4004 Å, c = 17.2007 Å, α = 90.00°, β = 90.00° and γ = 90.00°. The distinct sites, in fractional coordinates, are Cs at (0.0000, 0.0857, 0.0000), Cs at (0.0000, 0.1433, 0.6500), Mg at (0.0000, 0.2190, 0.3819), Ga at (0.0000, 0.4494, 0.8046), I at (0.0000, 0.0889, 0.4230), I at (0.0000, 0.2630, 0.9976), I at (0.0000, 0.3088, 0.7680), I at (0.0000, 0.3469, 0.3379) and I at (0.0000, 0.4989, 0.1316).

The energy is -2.633 eV per atom. The formation energy from raw total energies comes out at -928 kJ/mol of formula units. The calculation puts the density of states at the Fermi level at 0.000 states/eV/atom. The total moment comes out at 0.000 μB per formula unit.

---

No. 3
# Cs2GaMoI6

Cs2GaMoI6 after structural relaxation (PBE, Alexandria).

It has space group Fm-3m (No. 225), with a = 12.0305 Å, b = 12.0305 Å, c = 12.0305 Å, α = 90.00°, β = 90.00° and γ = 90.00°. The distinct sites, in fractional coordinates, are Cs at (0.2500, 0.2500, 0.2500), Ga at (0.0000, 0.0000, 0.0000), Mo at (0.0000, 0.0000, 0.5000) and I at (0.0000, 0.0000, 0.2646).

The energy is -3.244 eV per atom. The formation energy from raw total energies comes out at -731 kJ/mol of formula units. The calculation puts the density of states at the Fermi level at 0.000 states/eV/atom. The total moment comes out at 3.000 μB per formula unit.

---

No. 4
# CsGaIN2

CsGaIN2 after structural relaxation (PBE, Alexandria).

It has space group P4/mmm (No. 123), with a = 4.7298 Å, b = 4.7298 Å, c = 5.7867 Å, α = 90.00°, β = 90.00° and γ = 90.00°. The distinct sites, in fractional coordinates, are Cs at (0.0000, 0.0000, 0.0000), Ga at (0.5000, 0.5000, 0.5000), I at (0.5000, 0.5000, 0.0000) and N at (0.0000, 0.5000, 0.5000).

The energy is -3.401 eV per atom. The formation energy from raw total energies comes out at 490 kJ/mol of formula units. The calculation puts the density of states at the Fermi level at 0.259 states/eV/atom. The total moment comes out at 3.279 μB per formula unit.